Ti3MoH at its PBEsol-relaxed geometry. Source: the Alexandria database, functional SCAN.

Summary:
The energy is -17.33 eV per atom. The calculation puts the offset from the most stable computed form at 0.000 eV/atom.

Cell: 4.0307 4.0307 4.0307 Å, 90.00 90.00 90.00°
Fractional positions:
H 0.0000 0.0000 0.0000
Mo 0.5000 0.5000 0.5000
Ti 0.0000 0.5000 0.0000
Ti 0.0000 0.0000 0.5000
Ti 0.5000 0.0000 0.0000

Tl3MoH at its PBEsol-relaxed geometry. Source: the Alexandria database, functional SCAN.

Summary:
The energy is -50.19 eV per atom.

Cell: 4.5416 4.5416 4.5416 Å, 90.00 90.00 90.00°
Fractional positions:
H 0.0000 0.0000 0.0000
Tl 0.0000 0.5000 0.0000
Tl 0.0000 0.0000 0.5000
Tl 0.5000 0.0000 0.0000
Mo 0.5000 0.5000 0.5000

Mo2H2W at its PBEsol-relaxed geometry. Source: the Alexandria database, functional SCAN.

Summary:
The energy is -29.12 eV per atom.

Cell: 3.1196 3.1196 5.8097 Å, 105.57 105.57 90.00°
Fractional positions:
H 0.2500 0.7500 0.5000
H 0.7500 0.2500 0.5000
Mo 0.3543 0.3543 0.7086
Mo 0.6457 0.6457 0.2914
W 0.0000 0.0000 0.0000

MoHW3 at its PBEsol-relaxed geometry. Source: the Alexandria database, functional SCAN.

Summary:
The energy is -49.05 eV per atom.

Cell: 4.0249 4.0249 4.0249 Å, 90.00 90.00 90.00°
Fractional positions:
H 0.0000 0.0000 0.0000
Mo 0.5000 0.5000 0.5000
W 0.0000 0.5000 0.0000
W 0.0000 0.0000 0.5000
W 0.5000 0.0000 0.0000

YMoH2 at its PBEsol-relaxed geometry. Source: the Alexandria database, functional SCAN.

Summary:
The energy is -16.80 eV per atom.

Cell: 4.0202 4.0202 4.0202 Å, 60.00 60.00 60.00°
Fractional positions:
Y 0.0000 0.0000 0.0000
H 0.2500 0.2500 0.2500
H 0.7500 0.7500 0.7500
Mo 0.5000 0.5000 0.5000

Zr2MoH2 at its PBEsol-relaxed geometry. Source: the Alexandria database, functional SCAN.

Summary:
The energy is -20.98 eV per atom.

Cell: 3.3192 3.3192 6.2426 Å, 105.42 105.42 90.00°
Fractional positions:
H 0.2500 0.7500 0.5000
H 0.7500 0.2500 0.5000
Mo 0.0000 0.0000 0.0000
Zr 0.3599 0.3599 0.7198
Zr 0.6401 0.6401 0.2802

Na3HN at its PBEsol-relaxed geometry. Source: the Alexandria database, functional SCAN.

Summary:
The energy is -4.76 eV per atom.

Cell: 4.1756 4.1756 4.1756 Å, 90.00 90.00 90.00°
Fractional positions:
Na 0.0000 0.5000 0.0000
Na 0.0000 0.0000 0.5000
Na 0.5000 0.0000 0.0000
H 0.0000 0.0000 0.0000
N 0.5000 0.5000 0.5000

NaPH3NO3 at its PBEsol-relaxed geometry. Source: the Alexandria database, functional SCAN.

Summary:
The energy is -7.46 eV per atom.

Cell: 5.7204 5.7204 6.0569 Å, 90.00 90.00 120.00°
Fractional positions:
Na 0.0000 0.0000 0.0033
Na 0.0000 0.0000 0.5033
P 0.6667 0.3333 0.6901
P 0.3333 0.6667 0.1901
H 0.5040 0.1493 0.3363
H 0.8507 0.3548 0.3363
H 0.6452 0.4960 0.3363
H 0.4960 0.8507 0.8363
H 0.1493 0.6452 0.8363
H 0.3548 0.5040 0.8363
N 0.6667 0.3333 0.3985
N 0.3333 0.6667 0.8985
O 0.8633 0.6264 0.7511
O 0.3736 0.2370 0.7511
O 0.7630 0.1367 0.7511
O 0.1367 0.3736 0.2511
O 0.6264 0.7630 0.2511
O 0.2370 0.8633 0.2511

NaH8SNO6 at its PBEsol-relaxed geometry. Source: the Alexandria database, functional SCAN.

Summary:
The energy is -6.39 eV per atom.

Cell: 6.3412 7.9798 12.6007 Å, 90.00 90.00 90.00°
Fractional positions:
Na 0.9176 0.2687 0.4858
Na 0.4176 0.2313 0.5142
Na 0.0824 0.7687 0.0142
Na 0.5824 0.7313 0.9858
H 0.7282 0.9170 0.1491
H 0.2282 0.5830 0.8509
H 0.2718 0.4170 0.3509
H 0.7718 0.0830 0.6491
H 0.7857 0.7382 0.1960
H 0.2857 0.7618 0.8040
H 0.2143 0.2382 0.3040
H 0.7143 0.2618 0.6960
H 0.3767 0.6059 0.1825
H 0.8767 0.8941 0.8175
H 0.6233 0.1059 0.3175
H 0.1233 0.3941 0.6825
H 0.3456 0.4759 0.0907
H 0.8456 0.0241 0.9093
H 0.6544 0.9759 0.4093
H 0.1544 0.5241 0.5907
H 0.8567 0.4351 0.2207
H 0.3567 0.0649 0.7793
H 0.1433 0.9351 0.2793
H 0.6433 0.5649 0.7207
H 0.8688 0.4135 0.0854
H 0.3688 0.0865 0.9146
H 0.1312 0.9135 0.4146
H 0.6312 0.5865 0.5854
H 0.0072 0.2779 0.1645
H 0.5072 0.2221 0.8355
H 0.9928 0.7779 0.3355
H 0.4928 0.7221 0.6645
H 0.7447 0.2641 0.1596
H 0.2447 0.2359 0.8404
H 0.2553 0.7641 0.3404
H 0.7553 0.7359 0.6596
S 0.3792 0.1145 0.1172
S 0.8792 0.3855 0.8828
S 0.6208 0.6145 0.3828
S 0.1208 0.8855 0.6172
N 0.3703 0.1502 0.8419
N 0.8703 0.3498 0.1581
N 0.6297 0.6502 0.6581
N 0.1297 0.8498 0.3419
O 0.1979 0.1116 0.1936
O 0.6979 0.3884 0.8064
O 0.8021 0.6116 0.3064
O 0.3021 0.8884 0.6936
O 0.5798 0.0908 0.1792
O 0.0798 0.4092 0.8208
O 0.4202 0.5908 0.3208
O 0.9202 0.9092 0.6792
O 0.3863 0.2767 0.0617
O 0.8863 0.2233 0.9383
O 0.6137 0.7767 0.4383
O 0.1137 0.7233 0.5617
O 0.1431 0.0232 0.5391
O 0.6431 0.4768 0.4609
O 0.8569 0.5232 0.9609
O 0.3569 0.9768 0.0391
O 0.6980 0.1900 0.6320
O 0.1980 0.3100 0.3680
O 0.3020 0.6900 0.8680
O 0.8020 0.8100 0.1320
O 0.6653 0.0983 0.3932
O 0.1653 0.4017 0.6068
O 0.3347 0.5983 0.1068
O 0.8347 0.9017 0.8932

NaH8SeNO6 at its PBEsol-relaxed geometry. Source: the Alexandria database, functional SCAN.

Summary:
The energy is -6.79 eV per atom.

Cell: 6.4797 8.1442 12.8646 Å, 90.00 90.00 90.00°
Fractional positions:
Na 0.5851 0.7334 0.9882
Na 0.0851 0.7666 0.0118
Na 0.4149 0.2334 0.5118
Na 0.9149 0.2666 0.4882
H 0.2913 0.7512 0.8088
H 0.7913 0.7488 0.1912
H 0.7087 0.2512 0.6912
H 0.2087 0.2488 0.3088
H 0.2459 0.5750 0.8551
H 0.7459 0.9250 0.1449
H 0.7541 0.0750 0.6449
H 0.2541 0.4250 0.3551
H 0.1482 0.5133 0.5885
H 0.6482 0.9867 0.4115
H 0.8518 0.0133 0.9115
H 0.3518 0.4867 0.0885
H 0.8692 0.8897 0.8177
H 0.3692 0.6103 0.1823
H 0.1308 0.3897 0.6823
H 0.6308 0.1103 0.3177
H 0.7434 0.7231 0.6659
H 0.2434 0.7769 0.3341
H 0.2566 0.2231 0.8341
H 0.7566 0.2769 0.1659
H 0.6389 0.5504 0.7238
H 0.1389 0.9496 0.2762
H 0.3611 0.0504 0.7762
H 0.8611 0.4496 0.2238
H 0.6285 0.5749 0.5915
H 0.1285 0.9251 0.4085
H 0.3715 0.0749 0.9085
H 0.8715 0.4251 0.0915
H 0.4881 0.7041 0.6700
H 0.9881 0.7959 0.3300
H 0.5119 0.2041 0.8300
H 0.0119 0.2959 0.1700
Se 0.1125 0.8747 0.6131
Se 0.6125 0.6253 0.3869
Se 0.8875 0.3747 0.8869
Se 0.3875 0.1253 0.1131
N 0.1240 0.8642 0.3365
N 0.6240 0.6358 0.6635
N 0.8760 0.3642 0.1635
N 0.3760 0.1358 0.8365
O 0.3093 0.8706 0.6978
O 0.8093 0.6294 0.3022
O 0.6907 0.3706 0.8022
O 0.1907 0.1294 0.1978
O 0.8935 0.9009 0.6814
O 0.3935 0.5991 0.3186
O 0.1065 0.4009 0.8186
O 0.6065 0.0991 0.1814
O 0.0992 0.7001 0.5481
O 0.5992 0.7999 0.4519
O 0.9008 0.2001 0.9519
O 0.4008 0.2999 0.0481
O 0.3588 0.9711 0.0299
O 0.8588 0.5289 0.9701
O 0.6412 0.4711 0.4701
O 0.1412 0.0289 0.5299
O 0.8095 0.8169 0.1276
O 0.3095 0.6831 0.8724
O 0.1905 0.3169 0.3724
O 0.6905 0.1831 0.6276
O 0.8360 0.8942 0.8931
O 0.3360 0.6058 0.1069
O 0.1640 0.3942 0.6069
O 0.6640 0.1058 0.3931

NaHSN2 at its PBEsol-relaxed geometry. Source: the Alexandria database, functional SCAN.

Summary:
The energy is -5.45 eV per atom.

Cell: 3.3397 3.7700 3.7700 Å, 90.00 90.00 90.00°
Fractional positions:
Na 0.5000 0.5000 0.5000
S 0.5000 0.0000 0.0000
N 0.0000 0.0000 0.5000
N 0.0000 0.5000 0.0000
H 0.0000 0.0000 0.0000

Nb2HN at its PBEsol-relaxed geometry. Source: the Alexandria database, functional SCAN.

Summary:
The energy is -20.17 eV per atom.

Cell: 4.6191 4.6191 5.6158 Å, 114.28 114.28 90.00°
Fractional positions:
H 0.7500 0.2500 0.5000
H 0.5000 0.5000 0.0000
Nb 0.3842 0.8750 0.2500
Nb 0.8658 0.3750 0.2500
Nb 0.1250 0.1342 0.7500
Nb 0.6250 0.6158 0.7500
N 0.2500 0.7500 0.5000
N 0.0000 0.0000 0.0000

NbH2PdN at its PBEsol-relaxed geometry. Source: the Alexandria database, functional SCAN.

Summary:
The energy is -15.12 eV per atom.

Cell: 3.6850 3.6850 3.8310 Å, 90.00 90.00 90.00°
Fractional positions:
H 0.0000 0.5000 0.0000
H 0.5000 0.0000 0.0000
Nb 0.5000 0.5000 0.5000
Pd 0.0000 0.0000 0.5000
N 0.0000 0.0000 0.0000

NdH10S3N3O11 at its PBEsol-relaxed geometry. Source: the Alexandria database, functional SCAN.

Summary:
The energy is -8.55 eV per atom.

Cell: 7.8532 9.1663 9.1892 Å, 119.34 95.40 89.60°
Fractional positions:
Nd 0.7752 0.6290 0.7909
Nd 0.2248 0.3710 0.2091
H 0.7773 0.5502 0.2300
H 0.2227 0.4498 0.7700
H 0.8514 0.7482 0.3806
H 0.1486 0.2518 0.6194
H 0.3224 0.8962 0.3223
H 0.6776 0.1038 0.6777
H 0.1231 0.9747 0.3173
H 0.8769 0.0253 0.6827
H 0.6299 0.2271 0.2412
H 0.3701 0.7729 0.7588
H 0.6273 0.1136 0.3378
H 0.3727 0.8864 0.6622
H 0.7257 0.9862 0.8655
H 0.2743 0.0138 0.1345
H 0.7064 0.9904 0.0435
H 0.2936 0.0096 0.9565
H 0.4893 0.6705 0.0118
H 0.5107 0.3295 0.9882
H 0.6639 0.6956 0.1336
H 0.3361 0.3044 0.8664
S 0.5917 0.6783 0.4184
S 0.4083 0.3217 0.5816
S 0.1458 0.7172 0.1021
S 0.8542 0.2828 0.8979
S 0.8802 0.2413 0.3800
S 0.1198 0.7587 0.6200
N 0.7457 0.6732 0.3054
N 0.2543 0.3268 0.6946
N 0.2202 0.9053 0.2471
N 0.7798 0.0947 0.7529
N 0.6982 0.1434 0.2656
N 0.3018 0.8566 0.7344
O 0.4855 0.8167 0.4391
O 0.5145 0.1833 0.5609
O 0.4957 0.4880 0.6834
O 0.5043 0.5120 0.3166
O 0.6692 0.7055 0.5818
O 0.3308 0.2945 0.4182
O 0.9758 0.7463 0.0441
O 0.0242 0.2537 0.9559
O 0.2670 0.6582 0.9752
O 0.7330 0.3418 0.0248
O 0.8646 0.3921 0.8233
O 0.1354 0.6079 0.1767
O 0.9598 0.1282 0.4329
O 0.0402 0.8718 0.5671
O 0.8414 0.4021 0.5215
O 0.1586 0.5979 0.4785
O 0.0266 0.7343 0.7377
O 0.9734 0.2657 0.2623
O 0.7004 0.9168 0.9186
O 0.2996 0.0832 0.0814
O 0.6158 0.6869 0.0240
O 0.3842 0.3131 0.9760